An optimized crystal structure of Tm2S3. Source: Alexandria via LeMat-Bulk, functional PBEsol.

a = 8.0813 Å, b = 8.0813 Å, c = 13.3886 Å
α = 107.57°, β = 107.57°, γ = 90.00°
Element x y z (fractional)
1 S 0.1382 0.7478 0.6323
2 S 0.2522 0.5059 0.3677
3 S 0.3233 0.2129 0.7898
4 Tm 0.6250 0.2571 0.7500
5 S 0.1156 0.8618 0.3677
6 Tm 0.9520 0.5742 0.4217
7 S 0.7559 0.0022 0.8677
8 Tm 0.4697 0.8475 0.4217
9 S 0.7835 0.5371 0.7102
10 S 0.6543 0.5585 0.4666
11 S 0.8269 0.2165 0.2898
12 Tm 0.1658 0.1658 0.3317
13 S 0.4231 0.6767 0.2102
14 S 0.8085 0.4043 0.9666
15 Tm 0.7429 0.8750 0.2500
16 S 0.4377 0.1915 0.0334
17 S 0.4415 0.1877 0.5334
18 S 0.9978 0.8882 0.1323
19 S 0.1118 0.8656 0.8677
20 Tm 0.0975 0.2197 0.9217
21 Tm 0.4158 0.9158 0.8317
22 S 0.0919 0.3457 0.5334
23 S 0.1581 0.5623 0.9666
24 S 0.5957 0.8419 0.0334
25 Tm 0.0842 0.5842 0.1683
26 Tm 0.7803 0.1758 0.0783
27 S 0.1344 0.2441 0.1323
28 Tm 0.8342 0.8342 0.6683
29 S 0.4629 0.0733 0.2898
30 S 0.8123 0.9081 0.4666
31 S 0.4941 0.8844 0.6323
32 Tm 0.8242 0.7020 0.9217
33 Tm 0.5071 0.3750 0.2500
34 S 0.7871 0.5335 0.2102
35 Tm 0.2980 0.9025 0.0783
36 Tm 0.1525 0.0480 0.5783
37 S 0.9267 0.1731 0.7102
38 Tm 0.4258 0.5303 0.5783
39 S 0.4665 0.5769 0.7898
40 Tm 0.1250 0.4929 0.7500

raw total energy: -267.8 eV per cell


An optimized crystal structure of Tm5S7. Source: Alexandria via LeMat-Bulk, functional PBEsol.

a = 3.7042 Å, b = 6.5051 Å, c = 11.3130 Å
α = 103.96°, β = 90.00°, γ = 106.54°
Element x y z (fractional)
1 Tm 0.3000 0.6000 0.1881
2 S 0.9596 0.9192 0.2155
3 Tm 0.7000 0.4000 0.8119
4 Tm 0.0000 0.0000 0.0000
5 S 0.0404 0.0808 0.7845
6 S 0.7411 0.4821 0.3517
7 S 0.3403 0.6806 0.9492
8 Tm 0.8875 0.7749 0.5783
9 Tm 0.1125 0.2251 0.4217
10 S 0.5000 0.0000 0.5000
11 S 0.6597 0.3194 0.0508
12 S 0.2589 0.5179 0.6483

raw total energy: -80.6 eV per cell


An optimized crystal structure of Tm2S3. Source: Alexandria via LeMat-Bulk, functional PBEsol.

a = 10.7138 Å, b = 10.7138 Å, c = 10.7138 Å
α = 109.47°, β = 109.47°, γ = 109.47°
Element x y z (fractional)
1 S 0.7217 0.7776 0.7326
2 Tm 0.0497 0.2500 0.2997
3 Tm 0.9503 0.7500 0.7003
4 S 0.9550 0.7224 0.4441
5 S 0.5559 0.7783 0.0109
6 S 0.0559 0.0450 0.7776
7 S 0.7776 0.2326 0.2217
8 Tm 0.2997 0.5497 0.7500
9 S 0.9891 0.2674 0.0450
10 S 0.4891 0.4441 0.7217
11 S 0.7224 0.9441 0.4550
12 Tm 0.7997 0.0497 0.7500
13 Tm 0.5000 0.5000 0.5000
14 S 0.2326 0.7217 0.2776
15 S 0.0450 0.2776 0.5559
16 Tm 0.7500 0.2003 0.4503
17 S 0.4441 0.2217 0.9891
18 S 0.5450 0.9891 0.7674
19 S 0.2217 0.4891 0.9441
20 S 0.2776 0.0559 0.5450
21 Tm 0.0000 0.0000 0.5000
22 S 0.7674 0.2783 0.7224
23 S 0.0109 0.7326 0.9550
24 S 0.9441 0.9550 0.2224
25 Tm 0.2003 0.9503 0.2500
26 Tm 0.2500 0.7997 0.5497
27 S 0.2783 0.2224 0.2674
28 Tm 0.7003 0.4503 0.2500
29 Tm 0.5000 0.0000 0.0000
30 Tm 0.7500 0.7003 0.9503
31 S 0.5109 0.5559 0.2783
32 S 0.2224 0.7674 0.7783
33 S 0.4550 0.0109 0.2326
34 S 0.7326 0.4550 0.5109
35 Tm 0.2500 0.2997 0.0497
36 Tm 0.5497 0.2500 0.7997
37 Tm 0.0000 0.5000 0.0000
38 Tm 0.4503 0.7500 0.2003
39 S 0.7783 0.5109 0.0559
40 S 0.2674 0.5450 0.4891

raw total energy: -267.8 eV per cell


An optimized crystal structure of Tm2S3. Source: Alexandria via LeMat-Bulk, functional PBEsol.

a = 6.7189 Å, b = 6.7189 Å, c = 7.1647 Å
α = 62.04°, β = 62.04°, γ = 60.00°
Element x y z (fractional)
1 S 0.9475 0.5525 0.2500
2 S 0.0525 0.4475 0.7500
3 Tm 0.3495 0.3495 0.9515
4 Tm 0.1505 0.1505 0.5485
5 S 0.5525 0.2500 0.2500
6 S 0.4475 0.7500 0.7500
7 Tm 0.8495 0.8495 0.4515
8 S 0.2500 0.9475 0.2500
9 S 0.7500 0.0525 0.7500
10 Tm 0.6505 0.6505 0.0485

raw total energy: -66.7 eV per cell


An optimized crystal structure of US2. Source: Alexandria via LeMat-Bulk, functional PBEsol.

a = 3.9271 Å, b = 6.9423 Å, c = 8.3281 Å
α = 90.00°, β = 90.00°, γ = 90.00°
Last column: magnetic moment on the atom in μB.
Element x y z (fractional)
1 S 0.2500 0.1383 0.9330  -0.08
2 U 0.7500 0.7508 0.3717  1.94
3 S 0.2500 0.6383 0.5670  -0.08
4 S 0.2500 0.0342 0.3321  -0.08
5 U 0.2500 0.2492 0.6283  1.94
6 S 0.7500 0.8617 0.0670  -0.08
7 S 0.7500 0.3617 0.4330  -0.08
8 U 0.2500 0.7492 0.8717  1.94
9 S 0.2500 0.5342 0.1679  -0.08
10 U 0.7500 0.2508 0.1283  1.94
11 S 0.7500 0.4658 0.8321  -0.08
12 S 0.7500 0.9658 0.6679  -0.08

raw total energy: -100.0 eV per cell


An optimized crystal structure of US. Source: Alexandria via LeMat-Bulk, functional PBEsol.

a = 3.7968 Å, b = 3.7968 Å, c = 3.7968 Å
α = 60.00°, β = 60.00°, γ = 60.00°
Last column: magnetic moment on the atom in μB.
Element x y z (fractional)
1 S 0.5000 0.5000 0.5000  -0.06
2 U 0.0000 0.0000 0.0000  1.77

raw total energy: -19.2 eV per cell